DFT (GGA-PBE) results for a relaxed Th4TcIrSe2 crystal.

Unit cell a=4.118 b=7.761 c=7.134 alpha=72.04 beta=90.00 gamma=90.00
Fractional positions:
Th 0.000 0.713 0.758
Th 0.000 0.287 0.242
Th 0.500 0.716 0.266
Th 0.500 0.284 0.734
Tc 0.000 0.500 0.500
Ir 0.500 0.500 0.000
Se 0.000 0.000 0.000
Se 0.500 0.000 0.500

Output
As for the space-group type: P2/m. Its uncorrected energy is -64.43 eV per cell. The formation energy from raw total energies is -1.07 eV per atom. The value obtained for the volume is 27.1 A^3/atom.